! ReMo2N, optimized geometry, DFT PBE; values from VASP
! - E_tot (eV/atom) = -10.208
! - M_tot (μB per cell) = 0.00
! - formation energy without anion corrections (eV per atom) = 0.400
! - calculated volume (Å³/atom) = 13.535
! - theoretical density (g/cm³) = 12.03
! - space-group type = R-3m
&SYSTEM
  ibrav = 0, nat = 12, ntyp = 3
/
ATOMIC_SPECIES
Re 186.21 Re.upf
Mo 95.94 Mo.upf
N 14.01 N.upf
CELL_PARAMETERS angstrom
2.818 0.000 0.000
-1.409 2.441 0.000
0.000 0.000 23.612
ATOMIC_POSITIONS crystal
Re 0.000 0.000 0.000
Re 0.333 0.667 0.667
Re 0.667 0.333 0.333
Mo 0.000 0.000 0.106
Mo 0.000 0.000 0.894
Mo 0.333 0.667 0.561
Mo 0.333 0.667 0.772
Mo 0.667 0.333 0.228
Mo 0.667 0.333 0.439
N 0.000 0.000 0.500
N 0.333 0.667 0.167
N 0.667 0.333 0.833


! Li3ClO, optimized geometry, DFT PBE; values from VASP
! - E_tot (eV/atom) = -4.074
! - M_tot (μB per cell) = 0.00
! - formation energy without anion corrections (eV per atom) = -1.565
! - calculated volume (Å³/atom) = 13.797
! - theoretical density (g/cm³) = 1.74
! - space-group type = P4mm
&SYSTEM
  ibrav = 0, nat = 5, ntyp = 3
/
ATOMIC_SPECIES
Li 6.94 Li.upf
Cl 35.45 Cl.upf
O 16.00 O.upf
CELL_PARAMETERS angstrom
3.396 0.000 0.000
0.000 3.396 0.000
0.000 0.000 5.981
ATOMIC_POSITIONS crystal
Li 0.000 0.000 0.000
Li 0.000 0.500 0.653
Li 0.500 0.000 0.653
Cl 0.000 0.000 0.385
O 0.500 0.500 0.803


! CeH3C3O6, optimized geometry, DFT PBE; values from VASP
! - E_tot (eV/atom) = -7.056
! - M_tot (μB per cell) = 1.00
! - calculated volume (Å³/atom) = 10.693
! - theoretical density (g/cm³) = 3.29
! - space-group type = R3m
&SYSTEM
  ibrav = 0, nat = 13, ntyp = 4
/
ATOMIC_SPECIES
Ce 140.12 Ce.upf
H 1.01 H.upf
C 12.01 C.upf
O 16.00 O.upf
CELL_PARAMETERS angstrom
5.397 3.116 1.377
-5.397 3.116 1.377
0.000 -6.232 1.377
ATOMIC_POSITIONS crystal
Ce 0.000 0.000 0.000
H 0.374 0.374 0.861
H 0.374 0.861 0.374
H 0.861 0.374 0.374
C 0.151 0.611 0.611
C 0.611 0.151 0.611
C 0.611 0.611 0.151
O 0.281 0.880 0.880
O 0.334 0.590 0.590
O 0.590 0.334 0.590
O 0.590 0.590 0.334
O 0.880 0.281 0.880
O 0.880 0.880 0.281


! Cd5AgHg4, optimized geometry, DFT PBE; values from VASP
! - E_tot (eV/atom) = -0.839
! - M_tot (μB per cell) = 0.00
! - energy of formation (eV per atom) = 0.02
! - calculated volume (Å³/atom) = 22.869
! - theoretical density (g/cm³) = 10.69
! - space-group type = P4/mmm
&SYSTEM
  ibrav = 0, nat = 10, ntyp = 3
/
ATOMIC_SPECIES
Cd 112.41 Cd.upf
Ag 107.87 Ag.upf
Hg 200.59 Hg.upf
CELL_PARAMETERS angstrom
3.796 0.000 0.000
0.000 3.796 0.000
0.000 0.000 15.872
ATOMIC_POSITIONS crystal
Cd 0.000 0.000 0.000
Cd 0.000 0.000 0.207
Cd 0.000 0.000 0.408
Cd 0.000 0.000 0.592
Cd 0.000 0.000 0.793
Ag 0.500 0.500 0.500
Hg 0.500 0.500 0.103
Hg 0.500 0.500 0.309
Hg 0.500 0.500 0.691
Hg 0.500 0.500 0.897


! DyScTlO2, optimized geometry, DFT PBE; values from VASP
! - E_tot (eV/atom) = -7.027
! - M_tot (μB per cell) = 0.00
! - formation energy without anion corrections (eV per atom) = -2.384
! - calculated volume (Å³/atom) = 19.386
! - theoretical density (g/cm³) = 7.60
! - space-group type = I4mm
&SYSTEM
  ibrav = 0, nat = 10, ntyp = 4
/
ATOMIC_SPECIES
Dy 162.50 Dy.upf
Sc 44.96 Sc.upf
Tl 204.38 Tl.upf
O 16.00 O.upf
CELL_PARAMETERS angstrom
3.758 0.000 0.000
0.000 3.758 0.000
0.000 0.000 13.727
ATOMIC_POSITIONS crystal
Dy 0.000 0.000 0.000
Dy 0.500 0.500 0.500
Sc 0.000 0.000 0.347
Sc 0.500 0.500 0.847
Tl 0.000 0.000 0.671
Tl 0.500 0.500 0.171
O 0.000 0.500 0.414
O 0.000 0.500 0.914
O 0.500 0.000 0.414
O 0.500 0.000 0.914


! AlRe2Cl, optimized geometry, DFT PBE; values from VASP
! - E_tot (eV/atom) = -6.925
! - M_tot (μB per cell) = 0.00
! - formation energy without anion corrections (eV per atom) = 0.697
! - calculated volume (Å³/atom) = 16.709
! - theoretical density (g/cm³) = 10.80
! - space-group type = P2/m
&SYSTEM
  ibrav = 0, nat = 4, ntyp = 3
/
ATOMIC_SPECIES
Al 26.98 Al.upf
Re 186.21 Re.upf
Cl 35.45 Cl.upf
CELL_PARAMETERS angstrom
3.056 0.000 0.000
0.000 4.650 0.000
-0.520 0.000 4.703
ATOMIC_POSITIONS crystal
Al 0.000 0.000 0.000
Re 0.318 0.500 0.213
Re 0.682 0.500 0.787
Cl 0.500 0.000 0.500